[1]
A plane-wave DFT calculation with GGA-PBE was carried out for a geometry-optimized Pm7Al2In2 structure.

```
Pm7Al2In2
1.0
3.9252 -5.6912 0.0000
3.9252 5.6912 0.0000
0.0000 0.0000 7.9195
Pm Al In
7 2 2
direct
0.0000 0.0000 0.0000
0.0000 0.5000 0.2825
0.0000 0.5000 0.7175
0.5000 0.0000 0.2825
0.5000 0.0000 0.7175
0.5000 0.5000 0.2459
0.5000 0.5000 0.7541
0.2857 0.7143 0.0000
0.7143 0.2857 0.0000
0.1791 0.1791 0.5000
0.8209 0.8209 0.5000
```

Computed properties:
M_tot ... 0.0006 μB per atom
ΔH_f (0 K) ... -76 meV per atom
Mass density ... 6.094 g/cm3
Calculated total energy ... -47.05 eV per cell

[2]
A plane-wave DFT calculation with GGA-PBE was carried out for a geometry-optimized Pm8AlIn2 structure.

```
Pm8AlIn2
1.0
9.5333 -2.6683 0.0000
9.5333 2.6683 0.0000
-1.9431 0.0000 6.7218
Pm Al In
8 1 2
direct
0.0120 0.0120 0.2682
0.2048 0.2048 0.7985
0.3437 0.3437 0.5287
0.4076 0.4076 0.0374
0.5924 0.5924 0.9626
0.6563 0.6563 0.4713
0.7952 0.7952 0.2015
0.9880 0.9880 0.7318
0.5000 0.5000 0.5000
0.1796 0.1796 0.2332
0.8204 0.8204 0.7668
```

Computed properties:
M_tot ... 0.0000 μB per atom
ΔH_f (0 K) ... -210 meV per atom
Mass density ... 6.879 g/cm3
Calculated total energy ... -49.53 eV per cell

[3]
A plane-wave DFT calculation with GGA-PBE was carried out for a geometry-optimized Pm8Al2In structure.

```
Pm8Al2In
1.0
-2.5529 4.3009 7.5294
2.5529 -4.3009 7.5294
2.5529 4.3009 -7.5294
Pm Al In
8 2 1
direct
0.1198 0.3390 0.7807
0.1447 0.1447 0.0000
0.3143 0.0000 0.3143
0.4417 0.6610 0.7807
0.5583 0.3390 0.2193
0.6857 0.0000 0.6857
0.8553 0.8553 0.0000
0.8802 0.6610 0.2193
0.3073 0.8073 0.5000
0.6927 0.1927 0.5000
0.0000 0.5000 0.5000
```

Computed properties:
M_tot ... 0.0000 μB per atom
ΔH_f (0 K) ... -178 meV per atom
Mass density ... 6.673 g/cm3
Polymorph energy (0 for the lowest one) ... 27 meV per atom
Calculated total energy ... -50.19 eV per cell

[4]
A plane-wave DFT calculation with GGA-PBE was carried out for a geometry-optimized Pm5Al2In structure.

```
Pm5Al2In
1.0
-3.9977 3.9977 7.4470
3.9977 -3.9977 7.4470
3.9977 3.9977 -7.4470
Pm Al In
10 4 2
direct
0.0000 0.0000 0.0000
0.0242 0.5242 0.8423
0.1819 0.0242 0.5000
0.3181 0.8181 0.8423
0.4758 0.3181 0.5000
0.5000 0.5000 0.0000
0.5242 0.6819 0.5000
0.6819 0.1819 0.1577
0.8181 0.9758 0.5000
0.9758 0.4758 0.1577
0.1179 0.3821 0.5000
0.3821 0.8821 0.2641
0.6179 0.1179 0.7359
0.8821 0.6179 0.5000
0.2500 0.2500 0.0000
0.7500 0.7500 0.0000
```

Computed properties:
M_tot ... 0.0000 μB per atom
ΔH_f (0 K) ... -311 meV per atom
Mass density ... 6.235 g/cm3
Calculated total energy ... -72.93 eV per cell